Compound: Pm4Ni2I5
Source: the Alexandria database
Functional: PBE
Structure: optimized geometry

a = 4.163 Å, b = 8.876 Å, c = 11.042 Å
α = 113.70°, β = 100.87°, γ = 90.00°
Sites, in units of the cell vectors:
I (0.166, 0.390, 0.333)
I (0.166, 0.943, 0.333)
I (0.834, 0.610, 0.667)
I (0.834, 0.057, 0.667)
I (0.500, 0.000, 0.000)
Pm (0.679, 0.679, 0.359)
Pm (0.000, 0.298, 0.000)
Pm (0.000, 0.702, 0.000)
Pm (0.321, 0.321, 0.641)
Ni (0.555, 0.555, 0.111)
Ni (0.445, 0.445, 0.889)

Properties
The value obtained for the energy above the lowest structure with this stoichiometry is 28 meV/atom. The value obtained for the uncorrected formation energy is -895 kJ/mol of formula units.